## w
Entry from the Alexandria database: SnGeIN2 after structural relaxation (PBEsol).

Summary:
Calculated volume ... 18.28 Å³ per atom
N(E_F) ... 0.294 states/eV per atom
Space-group type ... P4/mmm
M_tot ... 0.654 μB per formula unit

extended XYZ file:
```
5
Lattice="-1.018 -2.614 2.962 1.929 -2.998 -1.983 4.639 1.219 2.670" Properties=species:S:1:pos:R:3 pbc="T T T"
N 0.965 -1.499 -0.992
I 2.320 0.610 1.335
N -0.509 -1.307 1.481
Ge 0.000 0.000 0.000
Sn 2.775 -2.197 1.825
```


## x
Entry from the Alexandria database: SnGeIN2 after structural relaxation (PBEsol).

Summary:
Calculated volume ... 20.38 Å³ per atom
N(E_F) ... 0.491 states/eV per atom
Space-group type ... P4/mmm
M_tot ... 0.831 μB per formula unit

extended XYZ file:
```
5
Lattice="-2.856 1.707 -2.461 2.312 -0.906 -3.311 -2.738 -5.261 -0.472" Properties=species:S:1:pos:R:3 pbc="T T T"
N -1.428 0.853 -1.231
Sn 0.000 0.000 0.000
Ge -1.641 -2.230 -3.122
N 1.156 -0.453 -1.655
I -1.369 -2.630 -0.236
```


Preferred: w; penalty for the next structure: 0.097 eV/atom.


## w
Entry from the Alexandria database: GeRh3I after structural relaxation (PBEsol).

Summary:
Calculated volume ... 18.89 Å³ per atom
N(E_F) ... 1.626 states/eV per atom
Space-group type ... Pm-3m
M_tot ... 1.130 μB per formula unit

extended XYZ file:
```
5
Lattice="-4.345 0.233 -1.344 -1.217 -2.692 3.466 -0.617 3.666 2.630" Properties=species:S:1:pos:R:3 pbc="T T T"
Rh -2.172 0.117 -0.672
Ge 0.000 0.000 0.000
Rh -0.309 1.833 1.315
I -3.089 0.604 2.376
Rh -0.608 -1.346 1.733
```


## x
Entry from the Alexandria database: GeRh3I after structural relaxation (PBEsol).

Summary:
Calculated volume ... 21.57 Å³ per atom
N(E_F) ... 1.580 states/eV per atom
Space-group type ... Pm-3m
M_tot ... 0.144 μB per formula unit

extended XYZ file:
```
5
Lattice="4.760 0.000 0.000 0.000 4.760 0.000 0.000 0.000 4.760" Properties=species:S:1:pos:R:3 pbc="T T T"
Ge 2.380 2.380 2.380
Rh 2.380 0.000 0.000
Rh 0.000 2.380 0.000
I 0.000 0.000 0.000
Rh 0.000 0.000 2.380
```


Preferred: w; penalty for the next structure: 0.542 eV/atom.


## w
Entry from the Alexandria database: SrLa2Ge2 after structural relaxation (PBEsol).

Summary:
Calculated volume ... 28.80 Å³ per atom
N(E_F) ... 1.057 states/eV per atom
Space-group type ... I4/mmm
M_tot ... 0.001 μB per formula unit

extended XYZ file:
```
5
Lattice="-4.000 2.379 0.152 -1.690 -2.622 -3.457 0.448 -4.193 6.097" Properties=species:S:1:pos:R:3 pbc="T T T"
La -2.044 -3.468 0.494
Ge -3.295 -0.931 -0.819
Ge -1.948 -3.505 3.611
La -3.199 -0.968 2.298
Sr 0.000 0.000 0.000
```


## x
Entry from the Alexandria database: SrLa2Ge2 after structural relaxation (PBEsol).

Summary:
Calculated volume ... 28.51 Å³ per atom
N(E_F) ... 0.421 states/eV per atom
Space-group type ... P4/mbm
M_tot ... 0.000 μB per formula unit

extended XYZ file:
```
10
Lattice="3.951 0.000 0.000 0.000 8.494 0.000 0.000 0.000 8.494" Properties=species:S:1:pos:R:3 pbc="T T T"
Sr 0.000 0.000 0.000
La 1.976 3.130 1.118
La 1.976 5.365 7.377
La 1.976 1.118 5.365
Ge 0.000 7.077 5.664
Ge 0.000 1.417 2.830
La 1.976 7.377 3.130
Sr 0.000 4.247 4.247
Ge 0.000 2.830 7.077
Ge 0.000 5.664 1.417
```


Preferred: x; penalty for the next structure: 0.180 eV/atom.